Here is a geometry-optimized AcSiHg structure from the Open Quantum Materials Database. Energies are from GGA-PBE.

Values from the calculation:
Raw total energy = -3.39 eV/atom
Total moment = 0.003 μB per formula unit
Energy above the lowest structure with this stoichiometry = 405 meV/atom
Symmetry = F-43m

a = 5.0610 Å, b = 5.0610 Å, c = 5.0610 Å
α = 60.00°, β = 60.00°, γ = 60.00°
Last column: nearest neighbours and their distance in Å.
Positions (direct):
Ac1 0.0000 0.0000 0.0000  4 Hg 3.10
Si1 0.5000 0.5000 0.5000  4 Hg 3.10
Hg1 0.2500 0.2500 0.2500  4 Ac 3.10, 4 Si 3.10